[1]
The following is a GGA-PBEsol calculation of FeHgBr3 after structural relaxation, from the Alexandria database.

The space group is Pm-3m (No. 221) and the conventional cell measures 5.400, 5.400 and 5.400 Å, with angles of 90.00, 90.00 and 90.00 degrees. Symmetry generates all atoms from Fe at (0.000, 0.000, 0.000), Hg at (0.500, 0.500, 0.500) and Br at (0.000, 0.500, 0.500).

Its crystal system is cubic. As for the total energy: -2.45 eV/atom. Its uncorrected formation energy is 0.574 eV per atom.

---

[2]
The following is a GGA-PBEsol calculation of Co3AsH after structural relaxation, from the Alexandria database.

The space group is Pm-3m (No. 221) and the conventional cell measures 3.545, 3.545 and 3.545 Å, with angles of 90.00, 90.00 and 90.00 degrees. Symmetry generates all atoms from Co at (0.000, 0.000, 0.500), As at (0.500, 0.500, 0.500) and H at (0.000, 0.000, 0.000).

Its crystal system is cubic. As for the total energy: -6.46 eV/atom.

---

[3]
The following is a GGA-PBEsol calculation of LaScAl4 after structural relaxation, from the Alexandria database.

The space group is F-43m (No. 216) and the conventional cell measures 7.826, 7.826 and 7.826 Å, with angles of 90.00, 90.00 and 90.00 degrees. Symmetry generates all atoms from La at (0.000, 0.000, 0.000), Sc at (0.250, 0.250, 0.250) and Al at (0.125, 0.125, 0.625).

Its crystal system is cubic. As for the total energy: -5.16 eV/atom.

---

[4]
The following is a GGA-PBEsol calculation of ZrHg2Se after structural relaxation, from the Alexandria database.

The space group is Pmmm (No. 47) and the conventional cell measures 3.578, 4.341 and 5.402 Å, with angles of 90.00, 90.00 and 90.00 degrees. Symmetry generates all atoms from Zr at (0.000, 0.000, 0.000), Hg at (0.000, 0.500, 0.500), Hg at (0.500, 0.000, 0.500) and Se at (0.500, 0.500, 0.000).

Its crystal system is orthorhombic. As for the total energy: -3.83 eV/atom. Its uncorrected formation energy is -0.316 eV per atom.

---

Number 1 is which compound?
FeHgBr3